The following is a DFT calculation (PBE) of a relaxed structure of CsSbTe2O.

a b c (Å): 5.311 5.311 4.903
angles (deg): 90.00 90.00 90.00
Positions (direct):
Te 0.500 0.000 0.000
Cs 0.500 0.500 0.500
Te 0.000 0.500 0.000
Sb 0.000 0.000 0.500
O 0.000 0.000 0.000

For the size of the total moment, the calculation gives 0.00 μB per atom.



The following is a DFT calculation (PBE) of a relaxed structure of CsSbTe2O.

a b c (Å): 6.485 6.485 6.629
angles (deg): 90.00 90.00 90.00
Last column: magnetic moment on the atom in μB.
Positions (direct):
Sb 0.000 0.000 0.500  0.60
Cs 0.000 0.000 0.000  -0.04
Te 0.500 0.000 0.000  -0.54
O 0.500 0.500 0.500  1.33
Te 0.000 0.500 0.000  -0.54

For the size of the total moment, the calculation gives 0.24 μB per atom.



no.,offset from the most stable computed form (meV/atom),mass density (g/cm3),formation energy without anion corrections (eV per atom)
1,0,6.313,-0.076
2,1657,3.133,1.581